1.
First-principles (GGA-PBE) data for a relaxed SrPmTlBr6 crystal, as listed in Alexandria.

The structure belongs to space group P-31c (No. 163); the cell edges are 7.7713, 7.7713 and 14.1462 Å and the angles 90.00°, 90.00° and 120.00°. The inequivalent atoms are Sr at (0.3333, 0.6667, 0.2500), Pm at (0.3333, 0.6667, 0.7500), Tl at (0.0000, 0.0000, 0.0000) and Br at (0.0174, 0.3733, 0.6329).

The calculation puts the energy relative to the elements, uncorrected at -1.7452 eV/atom.

=====

2.
First-principles (GGA-PBE) data for a relaxed Hf2ZrBeGe crystal, as listed in Alexandria.

The structure belongs to space group P4/mmm (No. 123); the cell edges are 4.920, 4.920 and 4.967 Å and the angles 90.00°, 90.00° and 90.00°. The inequivalent atoms are Hf at (0.000, 0.500, 0.000), Zr at (0.000, 0.000, 0.500), Be at (0.500, 0.500, 0.500) and Ge at (0.000, 0.000, 0.000).

The value obtained for the formation enthalpy at 0 K is 0.6694 eV/atom.

=====

3.
First-principles (GGA-PBE) data for a relaxed In2Pd3Pt crystal, as listed in Alexandria.

The structure belongs to space group Cmmm (No. 65); the cell edges are 4.141, 12.465 and 3.954 Å and the angles 90.00°, 90.00° and 90.00°. The inequivalent atoms are In at (0.000, 0.156, 0.000), Pd at (0.000, 0.000, 0.500), Pd at (0.000, 0.331, 0.500) and Pt at (0.000, 0.500, 0.000).

The value obtained for the formation enthalpy at 0 K is -0.4561 eV/atom.

=====

4.
First-principles (GGA-PBE) data for a relaxed CrMoAs2 crystal, as listed in Alexandria.

The structure belongs to space group F-43m (No. 216); the cell edges are 6.283, 6.283 and 6.283 Å and the angles 90.00°, 90.00° and 90.00°. The inequivalent atoms are Cr at (0.000, 0.000, 0.000), Mo at (0.250, 0.250, 0.750), As at (0.000, 0.000, 0.500) and As at (0.250, 0.250, 0.250).

The value obtained for the formation enthalpy at 0 K is 0.3890 eV/atom.

=====

5.
First-principles (GGA-PBE) data for a relaxed CaTl2Bi crystal, as listed in Alexandria.

The structure belongs to space group I-4m2 (No. 119); the cell edges are 4.936, 4.936 and 9.976 Å and the angles 90.00°, 90.00° and 90.00°. The inequivalent atoms are Ca at (0.000, 0.000, 0.000), Tl at (0.000, 0.000, 0.500), Tl at (0.000, 0.500, 0.750) and Bi at (0.000, 0.500, 0.250).

The value obtained for the formation enthalpy at 0 K is -0.3328 eV/atom.

=====

6.
First-principles (GGA-PBE) data for a relaxed SmBeV crystal, as listed in Alexandria.

The structure belongs to space group C2/m (No. 12); the cell edges are 11.313, 3.658 and 5.974 Å and the angles 90.00°, 114.46° and 90.00°. The inequivalent atoms are Sm at (0.120, 0.000, 0.274), Be at (0.220, 0.000, 0.901) and V at (0.092, 0.500, 0.676).

The value obtained for the formation enthalpy at 0 K is 0.3447 eV/atom.

=====

7.
First-principles (GGA-PBE) data for a relaxed Pr3BrN2 crystal, as listed in Alexandria.

The structure belongs to space group Imma (No. 74); the cell edges are 6.773, 11.933 and 7.061 Å and the angles 90.00°, 90.00° and 90.00°. The inequivalent atoms are Pr at (0.247, 0.000, 0.000), Pr at (0.250, 0.250, 0.250), Br at (0.000, 0.250, 0.617) and N at (0.000, 0.091, 0.181).

The calculation puts the energy relative to the elements, uncorrected at -0.9329 eV/atom.

=====

8.
First-principles (GGA-PBE) data for a relaxed AcGa2Se4 crystal, as listed in Alexandria.

The structure belongs to space group I4/m (No. 87); the cell edges are 7.874, 7.874 and 6.325 Å and the angles 90.00°, 90.00° and 90.00°. The inequivalent atoms are Ac at (0.000, 0.000, 0.000), Ga at (0.000, 0.500, 0.250) and Se at (0.153, 0.697, 0.500).

The calculation puts the energy relative to the elements, uncorrected at -0.8539 eV/atom.

=====

9.
First-principles (GGA-PBE) data for a relaxed YSc2In crystal, as listed in Alexandria.

The structure belongs to space group P4mm (No. 99); the cell edges are 3.452, 3.452 and 8.632 Å and the angles 90.00°, 90.00° and 90.00°. The inequivalent atoms are Y at (0.000, 0.000, 0.000), Sc at (0.000, 0.000, 0.479), Sc at (0.500, 0.500, 0.723) and In at (0.500, 0.500, 0.256).

The value obtained for the formation enthalpy at 0 K is -0.2185 eV/atom.

=====

10.
First-principles (GGA-PBE) data for a relaxed LiTmZrFe crystal, as listed in Alexandria.

The structure belongs to space group F-43m (No. 216); the cell edges are 6.589, 6.589 and 6.589 Å and the angles 90.00°, 90.00° and 90.00°. The inequivalent atoms are Li at (0.000, 0.000, 0.000), Tm at (0.250, 0.250, 0.250), Zr at (0.250, 0.250, 0.750) and Fe at (0.000, 0.000, 0.500).

The value obtained for the formation enthalpy at 0 K is 0.0223 eV/atom.

=====

11.
First-principles (GGA-PBE) data for a relaxed LaCo2P crystal, as listed in Alexandria.

The structure belongs to space group Pmmm (No. 47); the cell edges are 3.640, 4.385 and 4.740 Å and the angles 90.00°, 90.00° and 90.00°. The inequivalent atoms are La at (0.000, 0.000, 0.000), Co at (0.500, 0.500, 0.240) and P at (0.000, 0.500, 0.500).

The value obtained for the formation enthalpy at 0 K is -0.4592 eV/atom.

=====

12.
First-principles (GGA-PBE) data for a relaxed LaAsIr2 crystal, as listed in Alexandria.

The structure belongs to space group I-42d (No. 122); the cell edges are 4.821, 4.821 and 16.505 Å and the angles 90.00°, 90.00° and 90.00°. The inequivalent atoms are La at (0.000, 0.000, 0.000), As at (0.000, 0.000, 0.500) and Ir at (0.086, 0.250, 0.625).

The value obtained for the formation enthalpy at 0 K is -0.4198 eV/atom.

=====

no.,E (eV per atom)
1,-3.84
2,-6.69
3,-4.97
4,-7.05
5,-2.99
6,-5.51
7,-6.38
8,-4.30
9,-5.68
10,-5.83
11,-6.60
12,-7.24